[1]
## Ti2BeTe2 (PBE)

Data for an optimized crystal structure of Ti2BeTe2.

POSCAR file:
```
Ti2BeTe2
1.0
7.485 0.000 0.000
0.000 7.485 0.000
0.000 0.000 3.524
Ti Be Te
4 2 4
direct
0.142 0.358 0.000
0.358 0.858 0.000
0.642 0.142 0.000
0.858 0.642 0.000
0.000 0.000 0.500
0.500 0.500 0.500
0.157 0.657 0.500
0.343 0.157 0.500
0.657 0.843 0.500
0.843 0.343 0.500
```

Properties
- uncorrected formation energy (eV/atom) = 0.079
- excess energy over the best structure of this formula in the dataset (meV per atom) = 0
- M_tot (Bohr magnetons per cell) = 0.0

[2]
## CaEu2Te (PBE)

Data for an optimized crystal structure of CaEu2Te.

POSCAR file:
```
CaEu2Te
1.0
4.002 0.000 0.000
0.000 4.002 0.000
0.000 0.000 9.625
Ca Eu Te
1 2 1
direct
0.000 0.000 0.000
0.500 0.500 0.306
0.500 0.500 0.694
0.000 0.000 0.500
```

Properties
- uncorrected formation energy (eV/atom) = -0.691
- M_tot (Bohr magnetons per cell) = 14.9